1.
The following is a GGA-PBE calculation of a geometry-optimized CoHgRu2 structure, from Alexandria via LeMat-Bulk.

Computed properties:
Crystal system: orthorhombic
ΔE_f, eV/f.u.: 2.43
Density, g/cm3: 12.7
Energy, eV/atom: -5.882
DOS(E_F), states/eV/cell: 6.14

a b c (Å): 5.2537 5.2537 5.2537
angles (deg): 147.70 128.18 62.39
Closest atoms and distances in Å follow each position.
Element x y z (fractional)
1 Ru 0.9854 0.9854 0.0000  4 Ru 2.63-2.92, 4 Co 2.73, 2 Hg 2.87
2 Ru 0.7416 0.2416 0.5000  2 Co 2.52, 2 Ru 2.63, 4 Hg 2.73
3 Co 0.5131 0.5131 0.0000  6 Ru 2.52-2.73, 2 Hg 2.70
4 Hg 0.2599 0.7599 0.5000  2 Co 2.70, 6 Ru 2.73-2.87, 2 Hg 2.92


2.
The following is a GGA-PBE calculation of a geometry-optimized CoHgRu2 structure, from Alexandria via LeMat-Bulk.

Computed properties:
Crystal system: cubic
ΔE_f, eV/f.u.: 2.55
Density, g/cm3: 12.6
Energy, eV/atom: -5.853
DOS(E_F), states/eV/cell: 5.34

a b c (Å): 4.4138 4.4138 4.4138
angles (deg): 60.00 60.00 60.00
Closest atoms and distances in Å follow each position.
Element x y z (fractional)
1 Hg 0.7500 0.7500 0.7500  4 Co 2.70, 4 Ru 2.70
2 Ru 0.2500 0.2500 0.2500  4 Co 2.70, 4 Ru 2.70
3 Ru 0.0000 0.0000 0.0000  4 Ru 2.70, 4 Hg 2.70
4 Co 0.5000 0.5000 0.5000  4 Hg 2.70, 4 Ru 2.70


3.
The following is a GGA-PBE calculation of a geometry-optimized CoHgRu2 structure, from Alexandria via LeMat-Bulk.

Computed properties:
Crystal system: tetragonal
ΔE_f, eV/f.u.: 2.18
Density, g/cm3: 13.0
Energy, eV/atom: -5.944
DOS(E_F), states/eV/cell: 6.99

a b c (Å): 4.7776 4.7776 4.7776
angles (deg): 132.04 132.04 70.16
Closest atoms and distances in Å follow each position.
Element x y z (fractional)
1 Co 0.5000 0.5000 0.0000  8 Ru 2.75-2.76, 4 Hg 2.76
2 Hg 0.7500 0.2500 0.5000  8 Ru 2.75-2.76, 4 Co 2.76
3 Ru 0.0000 0.0000 0.0000  4 Co 2.75, 4 Hg 2.76, 4 Ru 2.76
4 Ru 0.2500 0.7500 0.5000  4 Hg 2.75, 4 Co 2.76, 4 Ru 2.76


4.
The following is a GGA-PBE calculation of a geometry-optimized CoHgRu2 structure, from Alexandria via LeMat-Bulk.

Computed properties:
Crystal system: tetragonal
ΔE_f, eV/f.u.: 2.38
Density, g/cm3: 13.1
Energy, eV/atom: -5.895
DOS(E_F), states/eV/cell: 5.91

a b c (Å): 4.8793 4.8793 4.8793
angles (deg): 134.24 134.24 66.71
Closest atoms and distances in Å follow each position.
Element x y z (fractional)
1 Co 0.2500 0.7500 0.5000  4 Hg 2.68, 8 Ru 2.78
2 Hg 0.7500 0.2500 0.5000  4 Co 2.68, 8 Ru 2.78
3 Ru 0.0000 0.0000 0.0000  4 Ru 2.68, 4 Co 2.78, 4 Hg 2.78
4 Ru 0.5000 0.5000 0.0000  4 Ru 2.68, 4 Hg 2.78, 4 Co 2.78